First-principles (PBE) data for a relaxed structure of Ac2TePt2, as listed in Alexandria.

Cell and atoms, written as extended XYZ:
```
10
Lattice="-1.071 -3.373 1.967 7.948 -1.601 1.585 -0.543 4.280 7.045" Properties=species:S:1:pos:R:3 pbc="T T T"
Ac 5.207 0.298 3.348
Ac 6.094 2.205 7.101
Ac 1.312 0.475 1.529
Ac 2.199 2.382 5.282
Te 3.438 -2.487 1.776
Te -0.807 0.454 4.506
Pt 2.277 -0.669 4.261
Pt 6.392 -2.580 3.225
Pt -0.057 1.887 7.372
Pt 4.058 -0.025 6.336
```

Calculated values
- Calculated density: 11.68 Mg/m³
- DOS at the Fermi energy: 3.34 states/eV per cell
- Energy relative to the elements, uncorrected: -1.21 eV per atom
- Energy: -5.90 eV per atom